Crystalline AcPr2Cu at its relaxed geometry, computed with PBE-GGA.

abc: 3.9322 3.9322 30.3462
angles: 90.00 90.00 120.00
Last column: nearest neighbours and their distance in Å.
Space group R3m (No. 160, hexagonal axes)
Unique sites:
Ac1 0.0000 0.0000 0.0000 [3 per cell]  6 Pr 3.87-3.89, 6 Ac 3.93
Pr1 0.0000 0.0000 0.2300 [3 per cell]  3 Cu 2.96
Pr2 0.0000 0.0000 0.4374 [3 per cell]  3 Cu 2.98
Cu1 0.0000 0.0000 0.8342 [3 per cell]  6 Pr 2.96-2.98

Calculated values
DFT formation energy	0.070	eV per atom
E above lowest polymorph	0.115	eV per atom

---

Crystalline AcPr2Cu at its relaxed geometry, computed with PBE-GGA.

abc: 5.7490 5.7490 3.8100
angles: 90.00 90.00 90.00
Last column: nearest neighbours and their distance in Å.
Space group P4/mmm (No. 123)
Unique sites:
Ac1 0.0000 0.0000 0.0000 [1 per cell]  8 Pr 3.45, 2 Ac 3.81
Pr1 0.0000 0.5000 0.5000 [2 per cell]  4 Cu 3.45, 4 Ac 3.45, 2 Pr 3.81
Cu1 0.5000 0.5000 0.0000 [1 per cell]  8 Pr 3.45, 2 Cu 3.81

Calculated values
DFT formation energy	0.235	eV per atom
E above lowest polymorph	0.279	eV per atom

---

Crystalline AcPrCu2 at its relaxed geometry, computed with PBE-GGA.

abc: 4.1467 4.5573 5.8846
angles: 90.00 110.31 90.00
Last column: nearest neighbours and their distance in Å.
Space group Pm (No. 6)
Unique sites:
Ac1 0.0000 0.0000 0.0000 [1 per cell]  7 Cu 3.11-3.23
Pr1 0.2832 0.5000 0.5686 [1 per cell]  7 Cu 3.01-3.33
Cu1 0.5862 0.5000 0.1723 [1 per cell]  2 Cu 2.66
Cu2 0.7084 0.0000 0.4204 [1 per cell]  2 Cu 2.66

Calculated values
DFT formation energy	-0.145	eV per atom
E above lowest polymorph	0.000	eV per atom

---

Crystalline AcPr4Cu5 at its relaxed geometry, computed with PBE-GGA.

abc: 3.6453 3.6453 18.3797
angles: 90.00 90.00 90.00
Last column: nearest neighbours and their distance in Å.
Space group P4/mmm (No. 123)
Unique sites:
Ac1 0.0000 0.0000 0.0000 [1 per cell]  8 Cu 3.28, 4 Ac 3.65
Pr1 0.0000 0.0000 0.2047 [2 per cell]  8 Cu 3.11-3.15
Pr2 0.0000 0.0000 0.4016 [2 per cell]  8 Cu 3.15
Cu1 0.5000 0.5000 0.1105 [2 per cell]  4 Pr 3.11, 4 Ac 3.28
Cu2 0.5000 0.5000 0.3030 [2 per cell]  8 Pr 3.15
Cu3 0.5000 0.5000 0.5000 [1 per cell]  8 Pr 3.15

Calculated values
DFT formation energy	-0.108	eV per atom

---

Crystalline Ac2PrCu9 at its relaxed geometry, computed with PBE-GGA.

abc: 5.3496 5.3496 26.2095
angles: 90.00 90.00 120.00
Last column: nearest neighbours and their distance in Å.
Space group R-3m (No. 166, hexagonal axes)
Unique sites:
Ac1 0.0000 0.0000 0.1379 [6 per cell]  12 Cu 3.12-3.48, 3 Ac 3.44
Pr1 0.0000 0.0000 0.0000 [3 per cell]  18 Cu 3.09-3.35
Cu1 0.0000 0.0000 0.3315 [6 per cell]  6 Cu 2.52-2.56
Cu2 0.0000 0.0000 0.5000 [3 per cell]  6 Cu 2.80
Cu3 0.0071 0.5035 0.0769 [18 per cell]  7 Cu 2.52-2.80

Calculated values
DFT formation energy	-0.069	eV per atom

---

Crystalline Ac2PrCu2 at its relaxed geometry, computed with PBE-GGA.

abc: 6.4497 4.1490 11.6178
angles: 90.00 95.31 90.00
Last column: nearest neighbours and their distance in Å.
Space group P2_1/m (No. 11)
Unique sites:
Ac1 0.1150 0.2500 0.3771 [2 per cell]  4 Cu 3.14-3.26
Ac2 0.2668 0.2500 0.0561 [2 per cell]  3 Cu 3.11-3.21
Pr1 0.3806 0.2500 0.7111 [2 per cell]  5 Cu 3.01-3.18
Cu1 0.1916 0.7500 0.8571 [2 per cell]  2 Pr 3.01, 4 Ac 3.11-3.21
Cu2 0.3957 0.7500 0.5217 [2 per cell]  2 Cu 2.55

Calculated values
DFT formation energy	-0.042	eV per atom
E above lowest polymorph	0.000	eV per atom